DFT (PBE+U) results for crystalline KMnCd2O4 at its relaxed geometry.

Cell: 5.8136 5.8136 5.4971 Å, 121.93 121.93 89.99°
With the nearest neighbours (Å) after each atom.
Fractional positions:
K 0.0000 0.0000 0.0001  4 O 2.58
Mn 0.5000 0.5000 0.0000  4 O 1.92
Cd 0.7500 0.2500 0.5001  4 O 2.28
Cd 0.2500 0.7500 0.5001  4 O 2.28
O 0.5818 0.5818 0.7517  1 Mn 1.92
O 0.4182 0.8302 0.2484  1 Mn 1.92
O 0.8302 0.4182 0.2484  1 Mn 1.92
O 0.1699 0.1699 0.7519  1 Mn 1.92

- ρ (g/cm³) = 5.15
- total DFT energy (no corrections) (eV/atom) = -4.958
- space group = I-42m
- magnetization (μB/cell) = 4.00